No. 1
K2UBeS5 | PBE | optimized geometry Values from VASP.

The structure in Quantum ESPRESSO input format:
```
&SYSTEM
  ibrav = 0, nat = 18, ntyp = 4
/
ATOMIC_SPECIES
K 39.10 K.upf
U 238.03 U.upf
Be 9.01 Be.upf
S 32.06 S.upf
ATOMIC_POSITIONS angstrom
K 1.9637 7.1590 6.8674
K 1.9637 6.9503 2.0706
K 1.9637 -6.9503 8.9380
K 1.9637 -7.1590 0.0000
U 1.9637 5.4552 11.5941
U 1.9637 -5.4552 4.7267
Be 1.9637 1.3868 3.3436
Be 1.9637 -1.3868 10.2110
S 1.9637 7.9801 11.3945
S 1.9637 3.6466 6.4490
S 1.9637 3.5078 2.9488
S 1.9637 3.0354 11.4077
S 1.9637 0.2368 1.7225
S 1.9637 -0.2368 8.5899
S 1.9637 -3.0354 4.5404
S 1.9637 -3.5078 9.8162
S 1.9637 -3.6466 13.3164
S 1.9637 -7.9801 4.5272
CELL_PARAMETERS angstrom
1.9637 -9.1192 0.0000
1.9637 9.1192 0.0000
0.0000 0.0000 13.7348
```

No. 2
K2BeVS4 | PBE | optimized geometry Values from VASP.

The structure in Quantum ESPRESSO input format:
```
&SYSTEM
  ibrav = 0, nat = 16, ntyp = 4
/
ATOMIC_SPECIES
K 39.10 K.upf
Be 9.01 Be.upf
V 50.94 V.upf
S 32.06 S.upf
ATOMIC_POSITIONS angstrom
K 2.0237 4.9212 1.2264
K 3.3728 8.2020 6.9746
K 2.0237 4.9212 16.0181
K 3.3728 8.2020 21.7663
Be 0.6746 1.6404 2.8741
Be 4.7219 11.4828 20.1186
V 2.0237 4.9212 8.6223
V 3.3728 8.2020 14.3705
S 1.9530 2.8569 4.0572
S 3.4435 6.1377 9.8053
S 2.0944 6.9855 4.0572
S 2.0944 2.8569 13.1874
S 3.3021 10.2663 9.8053
S 3.3021 6.1377 18.9356
S 1.9530 6.9855 13.1874
S 3.4435 10.2663 18.9356
CELL_PARAMETERS angstrom
0.0000 6.5616 11.4964
2.6982 0.0000 11.4964
2.6982 6.5616 0.0000
```

No. 3
KYBeS3 | PBE | optimized geometry Values from VASP.

The structure in Quantum ESPRESSO input format:
```
&SYSTEM
  ibrav = 0, nat = 12, ntyp = 4
/
ATOMIC_SPECIES
K 39.10 K.upf
Y 88.91 Y.upf
Be 9.01 Be.upf
S 32.06 S.upf
ATOMIC_POSITIONS angstrom
K 1.1213 0.9650 1.9819
K 5.0078 2.8950 6.6620
Y 0.6121 2.8950 7.3384
Y 5.5170 0.9650 1.3055
Be -1.0120 0.9650 5.2059
Be 7.1410 2.8950 3.4380
S -1.3166 0.9650 7.2488
S 0.0145 2.8950 4.5620
S 3.6114 2.8950 1.4046
S 2.5177 0.9650 7.2393
S 6.1145 0.9650 4.0819
S 7.4456 2.8950 1.3951
CELL_PARAMETERS angstrom
8.9168 0.0000 0.0000
0.0000 3.8600 0.0000
-2.7878 0.0000 8.6439
```

No. 4
K2ZrBeS4 | PBE | optimized geometry Values from VASP.

The structure in Quantum ESPRESSO input format:
```
&SYSTEM
  ibrav = 0, nat = 16, ntyp = 4
/
ATOMIC_SPECIES
K 39.10 K.upf
Zr 91.22 Zr.upf
Be 9.01 Be.upf
S 32.06 S.upf
ATOMIC_POSITIONS angstrom
K 0.0000 0.0000 0.0000
K -0.6513 0.0000 3.6725
K 2.4131 2.8763 0.0000
K 1.7618 -2.8763 3.6725
Zr 4.8262 0.0000 0.0000
Zr 4.1749 0.0000 3.6725
Be 1.7618 2.8763 3.6725
Be 2.4131 -2.8763 0.0000
S 3.6479 2.6956 3.4885
S 2.1056 0.0703 5.2045
S 2.7569 -0.0703 1.5320
S 5.3533 2.6956 0.1839
S 2.9966 -2.6956 7.1610
S 5.5930 0.0703 5.8129
S 6.2443 -0.0703 2.1404
S 4.7020 -2.6956 3.8564
CELL_PARAMETERS angstrom
4.8262 -5.7527 0.0000
4.8262 5.7527 0.0000
-1.3026 0.0000 7.3449
```

No. 5
KBeSb4 | PBE | optimized geometry Values from VASP.

The structure in Quantum ESPRESSO input format:
```
&SYSTEM
  ibrav = 0, nat = 6, ntyp = 3
/
ATOMIC_SPECIES
K 39.10 K.upf
Be 9.01 Be.upf
Sb 121.76 Sb.upf
ATOMIC_POSITIONS angstrom
K 0.0000 0.0000 0.0000
Be 2.2371 2.2371 2.2371
Sb 5.5661 3.3825 3.3825
Sb 3.3825 5.5661 3.3825
Sb 3.3825 3.3825 5.5661
Sb 5.5661 5.5661 5.5661
CELL_PARAMETERS angstrom
0.0000 4.4743 4.4743
4.4743 0.0000 4.4743
4.4743 4.4743 0.0000
```

No. 6
KBeSb2 | PBE | optimized geometry Values from VASP.

The structure in Quantum ESPRESSO input format:
```
&SYSTEM
  ibrav = 0, nat = 4, ntyp = 3
/
ATOMIC_SPECIES
K 39.10 K.upf
Be 9.01 Be.upf
Sb 121.76 Sb.upf
ATOMIC_POSITIONS angstrom
K 0.0000 0.0000 0.0000
Be 1.6735 0.0000 14.0762
Sb 0.0000 0.0000 12.2213
Sb 1.6735 0.0000 6.6110
CELL_PARAMETERS angstrom
3.3470 0.0000 0.0000
0.0000 1.7750 9.2142
0.0000 -1.7750 9.2142
```

No. 7
KBe2Sb | PBE | optimized geometry Values from VASP.

The structure in Quantum ESPRESSO input format:
```
&SYSTEM
  ibrav = 0, nat = 4, ntyp = 3
/
ATOMIC_SPECIES
K 39.10 K.upf
Be 9.01 Be.upf
Sb 121.76 Sb.upf
ATOMIC_POSITIONS angstrom
K 0.0000 0.0000 0.0000
Be 1.6785 0.0000 2.6962
Be 2.3873 1.9585 2.2866
Sb 0.3608 1.9585 3.6232
CELL_PARAMETERS angstrom
4.1047 0.0000 0.0000
0.0000 3.9169 0.0000
-1.6504 0.0000 6.1189
```

No. 8
KBe2Sb | PBE | optimized geometry Values from VASP.

The structure in Quantum ESPRESSO input format:
```
&SYSTEM
  ibrav = 0, nat = 4, ntyp = 3
/
ATOMIC_SPECIES
K 39.10 K.upf
Be 9.01 Be.upf
Sb 121.76 Sb.upf
ATOMIC_POSITIONS angstrom
K 0.0000 0.0000 0.0000
Be 1.6292 2.5230 0.0000
Be 1.6292 -2.5230 0.0000
Sb 3.2584 0.0000 0.0000
CELL_PARAMETERS angstrom
3.2584 -5.0460 0.0000
3.2584 5.0460 0.0000
-1.2395 0.0000 2.6378
```

no.,E (eV per atom)
1,-5.32
2,-5.04
3,-5.51
4,-4.98
5,-3.17
6,-3.24
7,-2.88
8,-2.19